A plane-wave DFT calculation with PBE was carried out for a relaxed KBF4 crystal.

Lattice parameters (Å, degrees): 7.425 7.425 6.727 90.00 90.00 90.00
Space group I4_1/amd (No. 141, origin choice 2)
One atom of each set of equivalent atoms:
K (0.000, 0.250, 0.375) (multiplicity 4)
B (0.000, 0.250, 0.875) (multiplicity 4)
F (0.000, 0.095, 0.752) (multiplicity 16)

Summary:
ΔE_f (raw) = -3000 meV/atom
total DFT energy (no corrections) = -5.543 eV/atom

A plane-wave DFT calculation with PBE was carried out for a relaxed Cs2Pu3O8 crystal.

Lattice parameters (Å, degrees): 14.315 6.953 5.974 90.00 109.35 90.00
Space group C2/m (No. 12)
One atom of each set of equivalent atoms:
Cs (0.217, 0.000, 0.171) (multiplicity 4)
Pu (0.000, 0.245, 0.500) (multiplicity 4)
Pu (0.000, 0.500, 0.000) (multiplicity 2)
O (0.076, 0.287, 0.873) (multiplicity 8)
O (0.079, 0.500, 0.398) (multiplicity 4)
O (0.087, 0.000, 0.477) (multiplicity 4)

Summary:
ΔE_f (raw) = -2628 meV/atom
total DFT energy (no corrections) = -9.118 eV/atom

A plane-wave DFT calculation with PBE was carried out for a relaxed MnCoSi2 crystal.

Lattice parameters (Å, degrees): 5.790 5.790 5.790 90.00 90.00 90.00
Space group F-43m (No. 216)
One atom of each set of equivalent atoms:
Mn (0.000, 0.000, 0.000) (multiplicity 4)
Co (0.250, 0.250, 0.250) (multiplicity 4)
Si (0.000, 0.000, 0.500) (multiplicity 4)
Si (0.250, 0.250, 0.750) (multiplicity 4)

Summary:
E above lowest polymorph = 559.5 meV per atom
ΔE_f (raw) = 54 meV/atom
total DFT energy (no corrections) = -6.726 eV/atom

A plane-wave DFT calculation with PBE was carried out for a relaxed SrCdInNi crystal.

Lattice parameters (Å, degrees): 4.6263 4.6263 16.6542 90.00 90.00 120.00
Space group R3m (No. 160, hexagonal axes)
One atom of each set of equivalent atoms:
Sr (0.0000, 0.0000, 0.0000) (multiplicity 3)
Cd (0.0000, 0.0000, 0.2042) (multiplicity 3)
In (0.0000, 0.0000, 0.4652) (multiplicity 3)
Ni (0.0000, 0.0000, 0.8133) (multiplicity 3)

Summary:
E above lowest polymorph = 0.0 meV per atom
formation energy = -0.196 eV per atom
total DFT energy (no corrections) = -2.975 eV/atom

A plane-wave DFT calculation with PBE was carried out for a relaxed CsPtI6 crystal.

Lattice parameters (Å, degrees): 12.900 8.595 8.969 90.00 130.04 90.00
Space group C2/m (No. 12)
One atom of each set of equivalent atoms:
Cs (0.000, 0.000, 0.000) (multiplicity 2)
Pt (0.000, 0.500, 0.500) (multiplicity 2)
I (0.144, 0.267, 0.764) (multiplicity 8)
I (0.175, 0.500, 0.431) (multiplicity 4)

Summary:
E above lowest polymorph = 0.0 meV per atom
ΔE_f (raw) = -419 meV/atom
total DFT energy (no corrections) = -2.443 eV/atom

A plane-wave DFT calculation with PBE was carried out for a relaxed RePCl2 crystal.

Lattice parameters (Å, degrees): 6.379 6.379 6.379 90.00 90.00 90.00
Space group F-43m (No. 216)
One atom of each set of equivalent atoms:
Re (0.000, 0.000, 0.000) (multiplicity 4)
P (0.250, 0.250, 0.750) (multiplicity 4)
Cl (0.000, 0.000, 0.500) (multiplicity 4)
Cl (0.250, 0.250, 0.250) (multiplicity 4)

Summary:
E above lowest polymorph = 1208.7 meV per atom
ΔE_f (raw) = 927 meV/atom
total DFT energy (no corrections) = -4.461 eV/atom

A plane-wave DFT calculation with PBE was carried out for a relaxed SrZrTa2 crystal.

Lattice parameters (Å, degrees): 3.196 4.432 7.197 90.00 90.00 90.00
Space group Pmmm (No. 47)
One atom of each set of equivalent atoms:
Sr (0.000, 0.000, 0.000) (multiplicity 1)
Zr (0.000, 0.000, 0.500) (multiplicity 1)
Ta (0.500, 0.500, 0.317) (multiplicity 2)

Summary:
E above lowest polymorph = 245.4 meV per atom
formation energy = 0.659 eV per atom
total DFT energy (no corrections) = -7.825 eV/atom

A plane-wave DFT calculation with PBE was carried out for a relaxed K3MnIn3Br8 crystal.

Lattice parameters (Å, degrees): 9.3848 9.3848 22.7485 90.00 90.00 120.00
Space group R-3m (No. 166, hexagonal axes)
One atom of each set of equivalent atoms:
K (0.0000, 0.5000, 0.0000) (multiplicity 9)
Mn (0.0000, 0.0000, 0.5000) (multiplicity 3)
In (0.0000, 0.5000, 0.5000) (multiplicity 9)
Br (0.0000, 0.0000, 0.2517) (multiplicity 6)
Br (0.0580, 0.5290, 0.2358) (multiplicity 18)

Summary:
ΔE_f (raw) = -1109 meV/atom
total DFT energy (no corrections) = -3.379 eV/atom

A plane-wave DFT calculation with PBE was carried out for a relaxed Na2InCo crystal.

Lattice parameters (Å, degrees): 3.915 3.915 22.081 90.00 90.00 90.00
Space group I-42d (No. 122)
One atom of each set of equivalent atoms:
Na (0.239, 0.250, 0.125) (multiplicity 8)
In (0.000, 0.000, 0.500) (multiplicity 4)
Co (0.000, 0.000, 0.000) (multiplicity 4)

Summary:
formation energy = 0.477 eV per atom
total DFT energy (no corrections) = -2.644 eV/atom

A plane-wave DFT calculation with PBE was carried out for a relaxed PrNdZnAg crystal.

Lattice parameters (Å, degrees): 7.485 7.485 7.485 90.00 90.00 90.00
Space group F-43m (No. 216)
One atom of each set of equivalent atoms:
Pr (0.000, 0.000, 0.000) (multiplicity 4)
Nd (0.000, 0.000, 0.500) (multiplicity 4)
Zn (0.250, 0.250, 0.250) (multiplicity 4)
Ag (0.250, 0.250, 0.750) (multiplicity 4)

Summary:
E above lowest polymorph = 18.9 meV per atom
formation energy = -0.268 eV per atom
total DFT energy (no corrections) = -3.686 eV/atom

A plane-wave DFT calculation with PBE was carried out for a relaxed DyZn2Ni2 crystal.

Lattice parameters (Å, degrees): 4.820 8.926 8.223 90.00 106.93 90.00
Space group C2/c (No. 15)
One atom of each set of equivalent atoms:
Dy (0.000, 0.125, 0.250) (multiplicity 4)
Zn (0.122, 0.375, 0.994) (multiplicity 8)
Ni (0.000, 0.200, 0.750) (multiplicity 4)
Ni (0.000, 0.450, 0.250) (multiplicity 4)

Summary:
E above lowest polymorph = 115.1 meV per atom
formation energy = -0.263 eV per atom
total DFT energy (no corrections) = -4.006 eV/atom

A plane-wave DFT calculation with PBE was carried out for a relaxed Rb3Pu3InTe8 crystal.

Lattice parameters (Å, degrees): 9.0371 9.0371 25.8834 90.00 90.00 120.00
Space group R-3m (No. 166, hexagonal axes)
One atom of each set of equivalent atoms:
Rb (0.0000, 0.5000, 0.0000) (multiplicity 9)
Pu (0.0000, 0.5000, 0.5000) (multiplicity 9)
In (0.0000, 0.0000, 0.5000) (multiplicity 3)
Te (0.0000, 0.0000, 0.2328) (multiplicity 6)
Te (0.0005, 0.5003, 0.2311) (multiplicity 18)

Summary:
ΔE_f (raw) = -901 meV/atom
total DFT energy (no corrections) = -5.819 eV/atom